Pa2AsSe | PBE | relaxed

```
16
Lattice="4.159 -8.005 0.000 4.159 8.005 0.000 -3.743 0.000 5.759" Properties=species:S:1:pos:R:3 pbc="T T T"
Se 1.351 -7.011 4.319
Se 3.223 7.011 1.440
Se 3.223 2.994 1.440
Se 1.351 -2.994 4.319
Pa 1.149 1.000 1.446
Pa -0.723 -1.000 4.325
Pa -0.728 3.004 4.321
Pa 1.144 -3.004 1.442
Pa 5.297 1.000 1.434
Pa 5.302 -3.004 1.438
Pa 3.425 -1.000 4.313
Pa 3.430 3.004 4.317
As 1.351 5.001 4.319
As 1.351 1.009 4.319
As 3.223 -5.001 1.440
As 3.223 -1.009 1.440
```

Raw total energy (eV per atom): -7.92
V (Å³/cell): 383.42